# 1
Crystalline Sr3Mg9Cd2 at its relaxed geometry, computed with PBE-GGA.

total DFT energy (no corrections): -1.599 eV per atom
volume: 401.25 Å³/f.u.
M_tot: 0.0 Bohr magnetons per cell

abc: 5.022 10.796 14.800
angles: 90.00 90.00 90.00
Space group Immm (No. 71)
One atom of each set of equivalent atoms:
Sr: 0.000 0.000 0.000 (multiplicity 2)
Sr: 0.000 0.000 0.308 (multiplicity 4)
Mg: 0.000 0.282 0.122 (multiplicity 8)
Mg: 0.000 0.355 0.328 (multiplicity 8)
Mg: 0.000 0.500 0.000 (multiplicity 2)
Cd: 0.000 0.206 0.500 (multiplicity 4)

---

# 2
Crystalline HoEr7Pb4 at its relaxed geometry, computed with PBE-GGA.

total DFT energy (no corrections): -4.316 eV per atom
volume: 362.06 Å³/f.u.
M_tot: 0.0 Bohr magnetons per cell

abc: 12.915 5.742 11.369
angles: 90.00 120.82 90.00
Space group C2/m (No. 12)
One atom of each set of equivalent atoms:
Ho: 0.000 0.000 0.000 (multiplicity 2)
Er: 0.000 0.500 0.000 (multiplicity 2)
Er: 0.041 0.000 0.374 (multiplicity 4)
Er: 0.158 0.500 0.570 (multiplicity 4)
Er: 0.214 0.000 0.900 (multiplicity 4)
Pb: 0.086 0.500 0.783 (multiplicity 4)
Pb: 0.211 0.500 0.322 (multiplicity 4)

---

# 3
Crystalline Al8Zn at its relaxed geometry, computed with PBE-GGA.

total DFT energy (no corrections): -3.446 eV per atom
volume: 146.88 Å³/f.u.
M_tot: 0.0 Bohr magnetons per cell

abc: 8.474 8.474 4.091
angles: 90.00 90.00 90.00
Space group I4/mmm (No. 139)
One atom of each set of equivalent atoms:
Al: 0.000 0.332 0.000 (multiplicity 8)
Al: 0.166 0.166 0.500 (multiplicity 8)
Zn: 0.000 0.000 0.000 (multiplicity 2)

---

# 4
Crystalline V5Ga2Mo at its relaxed geometry, computed with PBE-GGA.

volume: 111.83 Å³/f.u.
energy above the most stable polymorph in this dataset: 0.020 eV/atom
M_tot: 0.0 Bohr magnetons per cell

abc: 5.238 10.309 4.142
angles: 90.00 90.00 90.00
Space group Pbam (No. 55)
One atom of each set of equivalent atoms:
V: 0.000 0.000 0.000 (multiplicity 2)
V: 0.102 0.244 0.000 (multiplicity 4)
V: 0.189 0.628 0.500 (multiplicity 4)
Ga: 0.193 0.878 0.500 (multiplicity 4)
Mo: 0.000 0.500 0.000 (multiplicity 2)